Entry 1:
An optimized crystal structure of Sr2YCdIn. Source: Alexandria via LeMat-Bulk, functional GGA-PBEsol.

Summary:
- Energy of formation from the pure elements: 0.24 eV per atom
- V: 40.9 A^3/atom
- DOS(E_F): 9.36 states/eV/f.u.
- SG: P4/mmm (123)

abc: 5.614 6.038 6.038
angles: 90.00 90.00 90.00
Fractional coordinates of all 5 atoms:
Cd1 0.000 0.000 0.000
In1 0.500 0.500 0.500
Sr1 0.000 0.000 0.500
Sr2 0.000 0.500 0.000
Y1 0.500 0.000 0.000


Entry 2:
An optimized crystal structure of Ta2CdIn. Source: Alexandria via LeMat-Bulk, functional GGA-PBEsol.

Summary:
- Energy of formation from the pure elements: 0.30 eV per atom
- V: 18.9 A^3/atom
- DOS(E_F): 2.61 states/eV/f.u.
- SG: Imm2 (44)

abc: 3.453 4.751 5.454
angles: 115.82 108.45 90.00
Fractional coordinates of all 4 atoms:
Ta1 0.741 0.241 0.482
Cd1 0.499 0.499 0.998
In1 0.249 0.749 0.498
Ta2 0.011 0.011 0.022


Entry 3:
An optimized crystal structure of TaCdIn. Source: Alexandria via LeMat-Bulk, functional GGA-PBEsol.

Summary:
- Energy of formation from the pure elements: 0.25 eV per atom
- V: 19.8 A^3/atom
- DOS(E_F): 2.54 states/eV/f.u.
- SG: P3m1 (156)

abc: 3.032 3.032 7.476
angles: 90.00 90.00 120.00
Fractional coordinates of all 3 atoms:
In1 0.667 0.333 0.658
Ta1 0.333 0.667 0.334
Cd1 0.000 0.000 0.008


Entry 4:
An optimized crystal structure of TaCdInTc2. Source: Alexandria via LeMat-Bulk, functional GGA-PBEsol.

Summary:
- Energy of formation from the pure elements: 2.24 eV per atom
- V: 22.6 A^3/atom
- DOS(E_F): 5.64 states/eV/f.u.
- SG: P4/mmm (123)

abc: 4.785 4.785 4.929
angles: 90.00 90.00 90.00
Last column: magnetic moment on the atom in μB.
Fractional coordinates of all 5 atoms:
Tc1 0.000 0.500 0.000  0.80
Tc2 0.500 0.000 0.000  0.80
In1 0.000 0.000 0.000  -0.02
Ta1 0.000 0.000 0.500  -0.45
Cd1 0.500 0.500 0.500  -0.02


Entry 5:
An optimized crystal structure of CdInTc2. Source: Alexandria via LeMat-Bulk, functional GGA-PBEsol.

Summary:
- Energy of formation from the pure elements: 0.40 eV per atom
- V: 17.3 A^3/atom
- Polymorph energy (0 for the lowest one): 0.0 meV/atom
- DOS(E_F): 2.56 states/eV/f.u.
- SG: Cmm2 (35)

abc: 2.837 2.837 9.685
angles: 90.00 90.00 117.26
Fractional coordinates of all 4 atoms:
Tc1 0.000 0.000 0.979
In1 0.500 0.500 0.231
Cd1 0.000 0.000 0.518
Tc2 0.500 0.500 0.772


Entry 6:
An optimized crystal structure of CdInTc2. Source: Alexandria via LeMat-Bulk, functional GGA-PBEsol.

Summary:
- Energy of formation from the pure elements: 0.53 eV per atom
- V: 16.6 A^3/atom
- Polymorph energy (0 for the lowest one): 130.1 meV/atom
- DOS(E_F): 3.78 states/eV/f.u.
- SG: C2/m (12)

abc: 2.772 5.335 5.341
angles: 116.78 99.53 100.83
Fractional coordinates of all 4 atoms:
Tc1 0.500 0.500 0.500
Tc2 0.000 0.000 0.500
In1 0.000 0.500 0.000
Cd1 0.500 0.000 0.000


Entry 7:
An optimized crystal structure of CdInTe4. Source: Alexandria via LeMat-Bulk, functional GGA-PBEsol.

Summary:
- V: 30.5 A^3/atom
- E_form (uncorrected): 134 kJ/mol of formula units
- DOS(E_F): 4.85 states/eV/f.u.
- SG: F-43m (216)

abc: 6.373 6.373 6.373
angles: 60.00 60.00 60.00
Fractional coordinates of all 6 atoms:
Cd1 0.750 0.750 0.750
Te1 0.376 0.376 0.376
Te2 0.376 0.872 0.376
Te3 0.376 0.376 0.872
Te4 0.872 0.376 0.376
In1 0.000 0.000 0.000


Entry 8:
An optimized crystal structure of CdInTe. Source: Alexandria via LeMat-Bulk, functional GGA-PBEsol.

Summary:
- V: 25.9 A^3/atom
- Polymorph energy (0 for the lowest one): 0.0 meV/atom
- E_form (uncorrected): 0 kJ/mol of formula units
- DOS(E_F): 1.26 states/eV/f.u.
- SG: Imm2 (44)

abc: 3.269 3.960 6.523
angles: 107.67 104.51 90.00
Fractional coordinates of all 3 atoms:
Cd1 0.000 0.000 0.001
Te1 0.340 0.340 0.680
In1 0.660 0.660 0.319